Computed, not measured: a geometry-optimized SrCuRe structure at the PBE level of DFT.

Unit cell a=2.9313 b=2.9313 c=7.5318 alpha=90.00 beta=90.00 gamma=120.00
Space group P3m1 (No. 156)
Symmetry-distinct sites (fractional):
Sr1 0.0000 0.0000 0.0000 [1 per cell]
Cu1 0.3333 0.6667 0.3660 [1 per cell]
Re1 0.6667 0.3333 0.6373 [1 per cell]

Values from the calculation:
Energy above the most stable polymorph in this dataset ... 339 meV per atom


Computed, not measured: a geometry-optimized SrCuRe2 structure at the PBE level of DFT.

Unit cell a=6.5027 b=6.5027 c=6.5027 alpha=90.00 beta=90.00 gamma=90.00
Space group Fm-3m (No. 225)
Symmetry-distinct sites (fractional):
Sr1 0.0000 0.0000 0.0000 [4 per cell]
Cu1 0.0000 0.0000 0.5000 [4 per cell]
Re1 0.2500 0.2500 0.2500 [8 per cell]

Values from the calculation:
Energy above the most stable polymorph in this dataset ... 1300 meV per atom


Computed, not measured: a geometry-optimized SrCu2Re structure at the PBE level of DFT.

Unit cell a=8.8698 b=2.7766 c=6.1254 alpha=90.00 beta=97.12 gamma=90.00
Space group C2/m (No. 12)
Symmetry-distinct sites (fractional):
Sr1 0.0000 0.0000 0.0000 [2 per cell]
Cu1 0.2382 0.0000 0.6644 [4 per cell]
Re1 0.0000 0.5000 0.5000 [2 per cell]

Values from the calculation:
Energy above the most stable polymorph in this dataset ... 38 meV per atom


Computed, not measured: a geometry-optimized SrCuRe2 structure at the PBE level of DFT.

Unit cell a=2.7234 b=2.7234 c=9.2587 alpha=90.00 beta=90.00 gamma=90.00
Space group P4/mmm (No. 123)
Symmetry-distinct sites (fractional):
Sr1 0.0000 0.0000 0.0000 [1 per cell]
Cu1 0.0000 0.0000 0.5000 [1 per cell]
Re1 0.5000 0.5000 0.2937 [2 per cell]

Values from the calculation:
Energy above the most stable polymorph in this dataset ... 496 meV per atom


Computed, not measured: a geometry-optimized Sr2CuRe structure at the PBE level of DFT.

Unit cell a=7.0583 b=3.0199 c=9.3682 alpha=90.00 beta=95.09 gamma=90.00
Space group C2/m (No. 12)
Symmetry-distinct sites (fractional):
Sr1 0.2476 0.0000 0.2476 [4 per cell]
Cu1 0.0000 0.0000 0.5000 [2 per cell]
Re1 0.0000 0.5000 0.0000 [2 per cell]

Values from the calculation:
Energy above the most stable polymorph in this dataset ... 384 meV per atom


Computed, not measured: a geometry-optimized SrCu2Re structure at the PBE level of DFT.

Unit cell a=2.7790 b=4.9762 c=10.0101 alpha=90.00 beta=90.00 gamma=90.00
Space group Imm2 (No. 44)
Symmetry-distinct sites (fractional):
Sr1 0.0000 0.0000 0.0000 [2 per cell]
Cu1 0.0000 0.0000 0.4851 [2 per cell]
Cu2 0.0000 0.5000 0.7734 [2 per cell]
Re1 0.0000 0.5000 0.2108 [2 per cell]

Values from the calculation:
Energy above the most stable polymorph in this dataset ... 141 meV per atom


Computed, not measured: a geometry-optimized SrCuRe2 structure at the PBE level of DFT.

Unit cell a=3.1736 b=3.1736 c=7.5699 alpha=90.00 beta=90.00 gamma=90.00
Space group P4mm (No. 99)
Symmetry-distinct sites (fractional):
Sr1 0.0000 0.0000 0.0000 [1 per cell]
Cu1 0.5000 0.5000 0.6935 [1 per cell]
Re1 0.0000 0.0000 0.4950 [1 per cell]
Re2 0.5000 0.5000 0.3257 [1 per cell]

Values from the calculation:
Energy above the most stable polymorph in this dataset ... 47 meV per atom


Computed, not measured: a geometry-optimized Sr2CuRe structure at the PBE level of DFT.

Unit cell a=11.7832 b=3.1673 c=5.6062 alpha=90.00 beta=109.01 gamma=90.00
Space group Cm (No. 8)
Symmetry-distinct sites (fractional):
Sr1 0.0000 0.0000 0.0000 [2 per cell]
Sr2 0.1936 0.0000 0.6251 [2 per cell]
Cu1 0.4254 0.0000 0.4439 [2 per cell]
Re1 0.2675 0.5000 0.1779 [2 per cell]

Values from the calculation:
Energy above the most stable polymorph in this dataset ... 76 meV per atom


Computed, not measured: a geometry-optimized Sr2CuRe structure at the PBE level of DFT.

Unit cell a=4.5348 b=4.5348 c=9.6670 alpha=90.00 beta=90.00 gamma=90.00
Space group I-4m2 (No. 119)
Symmetry-distinct sites (fractional):
Sr1 0.0000 0.0000 0.0000 [2 per cell]
Sr2 0.0000 0.5000 0.2500 [2 per cell]
Cu1 0.0000 0.5000 0.7500 [2 per cell]
Re1 0.0000 0.0000 0.5000 [2 per cell]

Values from the calculation:
Energy above the most stable polymorph in this dataset ... 410 meV per atom


Computed, not measured: a geometry-optimized SrCuRe2 structure at the PBE level of DFT.

Unit cell a=3.8320 b=3.8320 c=5.0142 alpha=90.00 beta=90.00 gamma=90.00
Space group P4/mmm (No. 123)
Symmetry-distinct sites (fractional):
Sr1 0.0000 0.0000 0.0000 [1 per cell]
Cu1 0.5000 0.5000 0.0000 [1 per cell]
Re1 0.0000 0.5000 0.5000 [2 per cell]

Values from the calculation:
Energy above the most stable polymorph in this dataset ... 640 meV per atom


Computed, not measured: a geometry-optimized Sr4CuRe structure at the PBE level of DFT.

Unit cell a=9.4759 b=9.4759 c=9.4759 alpha=90.00 beta=90.00 gamma=90.00
Space group F-43m (No. 216)
Symmetry-distinct sites (fractional):
Sr1 0.1241 0.1241 0.3759 [16 per cell]
Cu1 0.0000 0.0000 0.0000 [4 per cell]
Re1 0.2500 0.2500 0.7500 [4 per cell]

Values from the calculation:
E_tot ... -57.6 eV per cell


Computed, not measured: a geometry-optimized SrCu2Re structure at the PBE level of DFT.

Unit cell a=2.8843 b=2.8843 c=28.6575 alpha=90.00 beta=90.00 gamma=120.00
Space group R-3m (No. 166, hexagonal axes)
Symmetry-distinct sites (fractional):
Sr1 0.0000 0.0000 0.0000 [3 per cell]
Cu1 0.0000 0.0000 0.2388 [6 per cell]
Re1 0.0000 0.0000 0.5000 [3 per cell]

Values from the calculation:
Energy above the most stable polymorph in this dataset ... 330 meV per atom